Below is a relaxed La4Sm15Dy crystal, with properties calculated at the PBE level.

a b c (Å): 5.1671 5.1671 25.7854
angles (deg): 90.00 90.00 90.00
Closest atoms and distances in Å follow each position.
Space group P4/mmm (No. 123)
Inequivalent atoms, fractional coordinates:
La1 0.0000 0.0000 0.1005 [2 per cell]  12 Sm 3.65-3.66
La2 0.0000 0.0000 0.3009 [2 per cell]  12 Sm 3.65-3.67
Sm1 0.0000 0.5000 0.0000 [2 per cell]  8 Sm 3.65-3.66, 4 La 3.66
Sm2 0.0000 0.5000 0.2008 [4 per cell]  4 La 3.65-3.66, 8 Sm 3.65-3.67
Sm3 0.0000 0.5000 0.4021 [4 per cell]  8 Sm 3.61-3.65, 2 Dy 3.61, 2 La 3.67
Sm4 0.5000 0.5000 0.1004 [2 per cell]  4 La 3.65, 8 Sm 3.66
Sm5 0.5000 0.5000 0.3018 [2 per cell]  4 La 3.65, 8 Sm 3.65-3.67
Sm6 0.5000 0.5000 0.5000 [1 per cell]  8 Sm 3.61, 4 Dy 3.65
Dy1 0.0000 0.0000 0.5000 [1 per cell]  12 Sm 3.61-3.65

## Properties
Calculated total energy = -4.735 eV per atom

---

Below is a relaxed La3Sm3Dy2 crystal, with properties calculated at the PBE level.

a b c (Å): 5.1512 5.1811 20.6519
angles (deg): 90.00 90.00 90.00
Closest atoms and distances in Å follow each position.
Space group Immm (No. 71)
Inequivalent atoms, fractional coordinates:
La1 0.0000 0.0000 0.0000 [2 per cell]  8 Sm 3.65-3.70, 4 La 3.68
La2 0.0000 0.5000 0.1264 [4 per cell]  4 Dy 3.62-3.64, 6 Sm 3.65-3.67, 2 La 3.68
Sm1 0.0000 0.0000 0.5000 [2 per cell]  8 La 3.65-3.67, 4 Sm 3.71
Sm2 0.0000 0.5000 0.3716 [4 per cell]  4 Dy 3.58-3.62, 6 La 3.65-3.70, 2 Sm 3.71
Dy1 0.0000 0.0000 0.2491 [4 per cell]  4 Sm 3.58-3.62, 4 La 3.62-3.64, 4 Dy 3.65

## Properties
Calculated total energy = -4.744 eV per atom

---

Below is a relaxed La3Sm5Dy3 crystal, with properties calculated at the PBE level.

a b c (Å): 9.6235 9.6235 5.6633
angles (deg): 90.00 90.00 120.00
Closest atoms and distances in Å follow each position.
Space group P-62m (No. 189)
Inequivalent atoms, fractional coordinates:
La1 0.0000 0.3867 0.0000 [3 per cell]  2 Dy 3.17
Sm1 0.0000 0.6165 0.5000 [3 per cell]  2 Sm 3.00, 2 Dy 3.23
Sm2 0.3333 0.6667 0.5000 [2 per cell]  3 Sm 3.00
Dy1 0.0000 0.2387 0.5000 [3 per cell]  2 La 3.17, 2 Sm 3.23

## Properties
Calculated total energy = -4.024 eV per atom

---

Below is a relaxed La3Sm3Dy5 crystal, with properties calculated at the PBE level.

a b c (Å): 9.6661 9.6661 5.4266
angles (deg): 90.00 90.00 120.00
Closest atoms and distances in Å follow each position.
Space group P-62m (No. 189)
Inequivalent atoms, fractional coordinates:
La1 0.0000 0.3615 0.0000 [3 per cell]  2 Sm 3.08, 4 Dy 3.10-3.16
Sm1 0.0000 0.5122 0.5000 [3 per cell]  2 La 3.08, 2 Dy 3.41
Dy1 0.0000 0.7254 0.0000 [3 per cell]  3 La 3.16-3.52, 2 Sm 3.41
Dy2 0.3333 0.6667 0.0000 [2 per cell]  3 La 3.10

## Properties
Calculated total energy = -3.981 eV per atom

---

Below is a relaxed La3SmDy crystal, with properties calculated at the PBE level.

a b c (Å): 7.9121 13.7283 6.6982
angles (deg): 90.00 90.00 90.00
Closest atoms and distances in Å follow each position.
Space group Cmcm (No. 63)
Inequivalent atoms, fractional coordinates:
La1 0.0000 0.1991 0.2500 [4 per cell]  2 La 3.18, 2 Sm 3.21
La2 0.2012 0.3999 0.2500 [8 per cell]  2 La 3.18, 2 Sm 3.21
Sm1 0.0000 0.0000 0.0000 [4 per cell]  6 La 3.21, 2 Sm 3.35
Dy1 0.0000 0.3340 0.7500 [4 per cell]  12 La 3.82-3.99

## Properties
Calculated total energy = -4.543 eV per atom

---

Below is a relaxed La8SmDy5 crystal, with properties calculated at the PBE level.

a b c (Å): 8.6646 8.7307 8.7386
angles (deg): 112.94 98.30 117.07
Closest atoms and distances in Å follow each position.
Space group P1 (No. 1)
Inequivalent atoms, fractional coordinates:
La1 0.0000 0.0000 0.0000 [1 per cell]  5 La 3.50-3.90, 5 Dy 3.53-3.83
La2 0.0170 0.4096 0.8118 [1 per cell]  1 La 3.24, 1 Sm 3.46, 3 Dy 3.46-3.62
La3 0.1668 0.1339 0.4997 [1 per cell]  1 Sm 3.18, 4 Dy 3.27-3.47, 1 La 3.48
La4 0.2178 0.5152 0.2941 [1 per cell]  5 La 3.50-3.88, 5 Dy 3.54-3.77
La5 0.3391 0.8700 0.1296 [1 per cell]  3 La 3.24-3.59, 1 Sm 3.42, 1 Dy 3.50
La6 0.4858 0.6529 0.7558 [1 per cell]  4 La 3.33-3.72, 2 Dy 3.51-3.61
La7 0.5998 0.4093 0.3763 [1 per cell]  4 Dy 3.27-3.61, 1 Sm 3.53, 2 La 3.59-3.63
La8 0.6324 0.1336 0.9599 [1 per cell]  1 Sm 3.19, 2 La 3.33-3.52, 3 Dy 3.34-3.45
Sm1 0.5331 0.1293 0.5912 [1 per cell]  5 La 3.18-3.53, 1 Dy 3.40
Dy1 0.1195 0.7814 0.6453 [1 per cell]  7 La 3.53-3.93, 1 Sm 3.74, 3 Dy 3.75-3.92
Dy2 0.3982 0.3653 0.9624 [1 per cell]  7 La 3.45-3.65, 1 Dy 3.48, 1 Sm 3.77
Dy3 0.7454 0.8780 0.5309 [1 per cell]  4 La 3.27-3.61, 1 Sm 3.40, 1 Dy 3.45
Dy4 0.8309 0.1780 0.3459 [1 per cell]  7 La 3.27-3.66, 1 Dy 3.45, 1 Sm 3.57
Dy5 0.8870 0.6509 0.1765 [1 per cell]  6 La 3.33-3.72, 2 Dy 3.48-3.68

## Properties
Calculated total energy = -4.643 eV per atom

---

| no. | V (Å³ per atom) | magnetization (μB/cell) | density (Mg/m³) |
| --- | --- | --- | --- |
| 1 | 34.4 | 0.00 | 7.17 |
| 2 | 34.4 | 0.00 | 7.19 |
| 3 | 41.3 | 0.00 | 6.05 |
| 4 | 39.9 | 0.00 | 6.35 |
| 5 | 36.4 | 0.00 | 6.66 |
| 6 | 35.6 | 0.00 | 6.91 |